{"formula": "Cd2Co", "functional": "meta-GGA SCAN", "state": "single point on PBEsol structure", "lattice": [[4.584, 0.000, 0.000], [-2.292, 3.970, 0.000], [0.000, 0.000, 2.746]], "species": ["Cd", "Cd", "Co"], "fractional_positions": [[0.333, 0.667, 0.000], [0.667, 0.333, 0.000], [0.000, 0.000, 0.500]], "e_tot_ev_per_atom": -25.621, "delta_e_f_ev_per_atom": 0.423}